1.
Below is an optimized crystal structure of K3NbTl, with properties calculated at the PBE-GGA level.

Properties
total magnetic moment	1.058	μB per atom
offset from the most stable computed form	0.0	meV per atom
formation energy	1144	meV per atom

abc: 6.6429 6.6429 6.6429
angles: 90.00 90.00 90.00
Space group Pm-3m (No. 221)
Unique sites:
K1 0.0000 0.0000 0.5000 x3
Nb1 0.0000 0.0000 0.0000 x1
Tl1 0.5000 0.5000 0.5000 x1

2.
Below is an optimized crystal structure of K2NbTl, with properties calculated at the PBE-GGA level.

Properties
total magnetic moment	1.007	μB per atom
offset from the most stable computed form	0.0	meV per atom
formation energy	1029	meV per atom

abc: 9.7738 9.7738 6.1668
angles: 90.00 90.00 90.00
Space group I-42d (No. 122)
Unique sites:
K1 0.2386 0.2500 0.1250 x8
Nb1 0.0000 0.0000 0.5000 x4
Tl1 0.0000 0.0000 0.0000 x4

3.
Below is an optimized crystal structure of K3NbV, with properties calculated at the PBE-GGA level.

Properties
total magnetic moment	1.892	μB per atom
formation energy	1871	meV per atom

abc: 6.4204 6.4204 6.4204
angles: 90.00 90.00 90.00
Space group Pm-3m (No. 221)
Unique sites:
K1 0.0000 0.0000 0.5000 x3
Nb1 0.5000 0.5000 0.5000 x1
V1 0.0000 0.0000 0.0000 x1

4.
Below is an optimized crystal structure of KZr2NbV, with properties calculated at the PBE-GGA level.

Properties
total magnetic moment	0.358	μB per atom
formation energy	1134	meV per atom

abc: 5.3246 5.3246 4.8349
angles: 90.00 90.00 90.00
Space group P4/mmm (No. 123)
Unique sites:
K1 0.0000 0.0000 0.0000 x1
Zr1 0.0000 0.5000 0.5000 x2
Nb1 0.5000 0.5000 0.5000 x1
V1 0.5000 0.5000 0.0000 x1

5.
Below is an optimized crystal structure of KNb3W, with properties calculated at the PBE-GGA level.

Properties
total magnetic moment	0.000	μB per atom
formation energy	2827	meV per atom

abc: 4.5765 4.5765 4.5765
angles: 90.00 90.00 90.00
Space group Pm-3m (No. 221)
Unique sites:
K1 0.0000 0.0000 0.0000 x1
Nb1 0.0000 0.0000 0.5000 x3
W1 0.5000 0.5000 0.5000 x1

6.
Below is an optimized crystal structure of KNbW2, with properties calculated at the PBE-GGA level.

Properties
total magnetic moment	0.000	μB per atom
offset from the most stable computed form	0.0	meV per atom
formation energy	1763	meV per atom

abc: 6.7379 6.7379 6.7379
angles: 90.00 90.00 90.00
Space group Fm-3m (No. 225)
Unique sites:
K1 0.0000 0.0000 0.0000 x4
Nb1 0.0000 0.0000 0.5000 x4
W1 0.2500 0.2500 0.2500 x8

7.
Below is an optimized crystal structure of K2NbW, with properties calculated at the PBE-GGA level.

Properties
total magnetic moment	0.113	μB per atom
offset from the most stable computed form	0.0	meV per atom
formation energy	1803	meV per atom

abc: 12.9500 12.9500 4.6533
angles: 90.00 90.00 90.00
Space group I-42d (No. 122)
Unique sites:
K1 0.0858 0.2500 0.1250 x8
Nb1 0.0000 0.0000 0.5000 x4
W1 0.0000 0.0000 0.0000 x4

8.
Below is an optimized crystal structure of KNbW2, with properties calculated at the PBE-GGA level.

Properties
total magnetic moment	0.000	μB per atom
offset from the most stable computed form	281.5	meV per atom
formation energy	2044	meV per atom

abc: 4.7860 4.7860 18.6023
angles: 90.00 90.00 90.00
Space group I-42d (No. 122)
Unique sites:
K1 0.0000 0.0000 0.0000 x4
Nb1 0.0000 0.0000 0.5000 x4
W1 0.0875 0.2500 0.6250 x8

9.
Below is an optimized crystal structure of K2NbW, with properties calculated at the PBE-GGA level.

Properties
total magnetic moment	1.085	μB per atom
offset from the most stable computed form	933.6	meV per atom
formation energy	2737	meV per atom

abc: 7.6945 7.6945 7.6945
angles: 90.00 90.00 90.00
Space group Fm-3m (No. 225)
Unique sites:
K1 0.2500 0.2500 0.2500 x8
Nb1 0.0000 0.0000 0.0000 x4
W1 0.0000 0.0000 0.5000 x4

10.
Below is an optimized crystal structure of KY3Nb, with properties calculated at the PBE-GGA level.

Properties
total magnetic moment	0.000	μB per atom
offset from the most stable computed form	0.0	meV per atom
formation energy	567	meV per atom

abc: 5.6776 5.6776 5.6776
angles: 90.00 90.00 90.00
Space group Pm-3m (No. 221)
Unique sites:
K1 0.0000 0.0000 0.0000 x1
Y1 0.0000 0.5000 0.5000 x3
Nb1 0.5000 0.5000 0.5000 x1

11.
Below is an optimized crystal structure of K2YNb, with properties calculated at the PBE-GGA level.

Properties
total magnetic moment	0.972	μB per atom
offset from the most stable computed form	69.6	meV per atom
formation energy	1480	meV per atom

abc: 8.4601 8.4601 8.4601
angles: 90.00 90.00 90.00
Space group Fm-3m (No. 225)
Unique sites:
K1 0.2500 0.2500 0.2500 x8
Y1 0.0000 0.0000 0.0000 x4
Nb1 0.0000 0.0000 0.5000 x4

12.
Below is an optimized crystal structure of KY3Nb, with properties calculated at the PBE-GGA level.

Properties
total magnetic moment	0.597	μB per atom
offset from the most stable computed form	1063.7	meV per atom
formation energy	1631	meV per atom

abc: 5.2888 5.2888 5.2888
angles: 90.00 90.00 90.00
Space group Pm-3m (No. 221)
Unique sites:
K1 0.0000 0.0000 0.0000 x1
Y1 0.0000 0.0000 0.5000 x3
Nb1 0.5000 0.5000 0.5000 x1